No. 1
A relaxed AcTmSnGe crystal. Source: Alexandria via LeMat-Bulk, functional PBE.

Calculated values
* DFT formation energy: -1.881 eV per formula unit

a = 5.4339 Å, b = 5.4339 Å, c = 5.4339 Å
α = 60.00°, β = 60.00°, γ = 60.00°
Closest atoms and distances in Å follow each position.
Element x y z (fractional)
Ac 0.0000 0.0000 0.0000  4 Ge 3.33, 4 Sn 3.33
Tm 0.5000 0.5000 0.5000  4 Ge 3.33, 4 Sn 3.33
Sn 0.2500 0.2500 0.2500  4 Tm 3.33, 4 Ac 3.33
Ge 0.7500 0.7500 0.7500  4 Tm 3.33, 4 Ac 3.33



No. 2
A relaxed LiErLuGe crystal. Source: Alexandria via LeMat-Bulk, functional PBE.

Calculated values
* DFT formation energy: -1.492 eV per formula unit

a = 4.9418 Å, b = 4.9418 Å, c = 4.9418 Å
α = 60.00°, β = 60.00°, γ = 60.00°
Closest atoms and distances in Å follow each position.
Element x y z (fractional)
Li 0.0000 0.0000 0.0000  4 Er 3.03, 4 Lu 3.03
Er 0.7500 0.7500 0.7500  4 Ge 3.03, 4 Li 3.03
Lu 0.2500 0.2500 0.2500  4 Ge 3.03, 4 Li 3.03
Ge 0.5000 0.5000 0.5000  4 Er 3.03, 4 Lu 3.03



No. 3
A relaxed Ba2NaCu3S5 crystal. Source: Alexandria via LeMat-Bulk, functional PBE.

Calculated values
* E_form (uncorrected): -0.996 eV/atom

a = 8.7823 Å, b = 8.7823 Å, c = 10.4442 Å
α = 98.07°, β = 98.07°, γ = 36.97°
Closest atoms and distances in Å follow each position.
Element x y z (fractional)
Ba 0.0421 0.0421 0.2111  8 S 3.13-3.40
Ba 0.2627 0.2627 0.8003  8 S 3.11-3.41
Ba 0.7373 0.7373 0.1997  8 S 3.11-3.41
Ba 0.9579 0.9579 0.7889  8 S 3.13-3.40
Na 0.3943 0.3943 0.2664  6 S 2.88-3.03, 4 Cu 3.08-3.19
Na 0.6057 0.6057 0.7336  6 S 2.88-3.03, 4 Cu 3.08-3.19
Cu 0.0885 0.5728 0.5089  4 S 2.39-2.45, 1 Cu 2.67
Cu 0.2653 0.7347 0.5000  4 S 2.39-2.44, 1 Cu 2.61
Cu 0.4272 0.9115 0.4911  4 S 2.39-2.45, 1 Cu 2.67
Cu 0.5728 0.0885 0.5089  4 S 2.39-2.45, 1 Cu 2.67
Cu 0.7347 0.2653 0.5000  4 S 2.39-2.44, 1 Cu 2.61
Cu 0.9115 0.4272 0.4911  4 S 2.39-2.45, 1 Cu 2.67
S 0.0660 0.6859 0.0304  1 S 2.12
S 0.0971 0.0971 0.6180  4 Cu 2.39
S 0.2388 0.2388 0.3559  4 Cu 2.43-2.45
S 0.3141 0.9340 0.9696  1 S 2.12
S 0.4295 0.4295 0.6457  4 Cu 2.42-2.44
S 0.5705 0.5705 0.3543  4 Cu 2.42-2.44
S 0.6859 0.0660 0.0304  1 S 2.12
S 0.7612 0.7612 0.6441  4 Cu 2.43-2.45
S 0.9029 0.9029 0.3820  4 Cu 2.39
S 0.9340 0.3141 0.9696  1 S 2.12



No. 4
A relaxed LaSc2Rh crystal. Source: Alexandria via LeMat-Bulk, functional PBE.

Calculated values
* DFT formation energy: -1.570 eV per formula unit

a = 5.9797 Å, b = 5.9797 Å, c = 5.9797 Å
α = 145.02°, β = 129.12°, γ = 63.24°
Closest atoms and distances in Å follow each position.
Element x y z (fractional)
La 0.0000 0.0000 0.0000  2 Rh 2.85
Sc 0.2915 0.7915 0.5000  4 Rh 3.14, 2 Sc 3.26, 4 La 3.33-3.47
Sc 0.5951 0.5951 0.0000  2 Rh 2.62
Rh 0.7823 0.2823 0.5000  2 Sc 2.62, 2 La 2.85